1.
{"formula": "Ho4Mg5Zn2", "functional": "GGA-PBE", "state": "relaxed", "cell": [[3.487, 0.000, 0.000], [0.000, 7.919, 0.068], [0.000, -0.679, 9.970]], "species": ["Ho", "Ho", "Ho", "Ho", "Mg", "Mg", "Mg", "Mg", "Mg", "Zn", "Zn"], "frac_coords": [[0.500, 0.752, 0.554], [0.500, 0.160, 0.867], [0.500, 0.248, 0.446], [0.500, 0.840, 0.133], [0.000, 0.561, 0.305], [0.000, 0.191, 0.160], [0.000, 0.500, 0.000], [0.000, 0.809, 0.840], [0.000, 0.439, 0.695], [0.000, 0.056, 0.631], [0.000, 0.944, 0.369]], "formation_energy_ev_per_atom": -0.108, "space_group": "P2/m, No. 10"}

=====

2.
{"formula": "Ho2Mg3Zn4", "functional": "GGA-PBE", "state": "relaxed", "cell": [[-4.289, 0.636, 4.033], [-4.854, -3.387, -4.627], [4.176, -7.792, 1.322]], "species": ["Ho", "Ho", "Ho", "Ho", "Mg", "Mg", "Mg", "Mg", "Mg", "Mg", "Zn", "Zn", "Zn", "Zn", "Zn", "Zn", "Zn", "Zn"], "frac_coords": [[0.095, 0.603, 0.189], [0.905, 0.397, 0.811], [0.405, 0.103, 0.811], [0.595, 0.897, 0.189], [0.000, 0.000, 0.000], [0.500, 0.500, 0.000], [0.512, 0.750, 0.524], [0.988, 0.250, 0.476], [0.488, 0.250, 0.476], [0.012, 0.750, 0.524], [0.677, 0.750, 0.854], [0.823, 0.250, 0.146], [0.323, 0.250, 0.146], [0.177, 0.750, 0.854], [0.160, 0.982, 0.320], [0.840, 0.018, 0.680], [0.340, 0.482, 0.680], [0.660, 0.518, 0.320]], "formation_energy_ev_per_atom": -0.185, "space_group": "Cmce, No. 64"}

=====

3.
{"formula": "Ho5Mg4Zn", "functional": "GGA-PBE", "state": "relaxed", "cell": [[3.680, 0.000, 0.000], [0.000, 3.680, 0.000], [0.000, 0.000, 19.173]], "species": ["Ho", "Ho", "Ho", "Ho", "Ho", "Mg", "Mg", "Mg", "Mg", "Zn"], "frac_coords": [[0.500, 0.500, 0.088], [0.500, 0.500, 0.295], [0.500, 0.500, 0.500], [0.500, 0.500, 0.705], [0.500, 0.500, 0.912], [0.000, 0.000, 0.193], [0.000, 0.000, 0.398], [0.000, 0.000, 0.602], [0.000, 0.000, 0.807], [0.000, 0.000, 0.000]], "formation_energy_ev_per_atom": -0.122, "space_group": "P4/mmm, No. 123"}

=====

4.
{"formula": "HoMg2Zn9", "functional": "GGA-PBE", "state": "relaxed", "cell": [[5.279, 0.000, 0.000], [2.639, 4.572, 0.000], [2.639, 1.524, 8.376]], "species": ["Ho", "Mg", "Mg", "Zn", "Zn", "Zn", "Zn", "Zn", "Zn", "Zn", "Zn", "Zn"], "frac_coords": [[0.000, 0.000, 0.000], [0.859, 0.859, 0.422], [0.141, 0.141, 0.578], [0.666, 0.666, 0.001], [0.334, 0.334, 0.999], [0.500, 0.500, 0.500], [0.413, 0.413, 0.255], [0.920, 0.413, 0.255], [0.413, 0.920, 0.255], [0.587, 0.587, 0.745], [0.587, 0.080, 0.745], [0.080, 0.587, 0.745]], "formation_energy_ev_per_atom": -0.194, "space_group": "R-3m, No. 166"}

=====

5.
{"formula": "HoMg11Zn", "functional": "GGA-PBE", "state": "relaxed", "cell": [[5.397, -0.037, 2.248], [2.598, 7.085, 1.083], [-0.044, -0.018, 7.706]], "species": ["Ho", "Mg", "Mg", "Mg", "Mg", "Mg", "Mg", "Mg", "Mg", "Mg", "Mg", "Mg", "Zn"], "frac_coords": [[0.000, 0.000, 0.000], [0.296, 0.216, 0.208], [0.704, 0.784, 0.792], [0.497, 0.784, 0.208], [0.503, 0.216, 0.792], [0.351, 0.645, 0.656], [0.649, 0.355, 0.344], [0.992, 0.355, 0.656], [0.008, 0.645, 0.344], [0.000, 0.500, 0.000], [0.500, 0.000, 0.500], [0.000, 0.000, 0.500], [0.500, 0.500, 0.000]], "formation_energy_ev_per_atom": -0.032, "space_group": "C2/m, No. 12"}

=====

6.
{"formula": "HoMg2Zn6", "functional": "GGA-PBE", "state": "relaxed", "cell": [[3.174, 0.000, 0.000], [0.000, 6.715, -3.877], [0.000, 0.000, 7.753]], "species": ["Ho", "Mg", "Mg", "Zn", "Zn", "Zn", "Zn", "Zn", "Zn"], "frac_coords": [[0.000, 0.000, 0.000], [0.000, 0.333, 0.667], [0.000, 0.667, 0.333], [0.500, 0.337, 0.337], [0.500, 0.663, 0.663], [0.500, 0.000, 0.663], [0.500, 0.663, 0.000], [0.500, 0.337, 0.000], [0.500, 0.000, 0.337]], "formation_energy_ev_per_atom": -0.162, "space_group": "P6/mmm, No. 191"}

=====

7.
{"formula": "HoMg2Zn", "functional": "GGA-PBE", "state": "relaxed", "cell": [[-0.805, -1.092, -4.775], [2.988, -2.886, 2.717], [-3.649, -0.595, 3.311]], "species": ["Ho", "Mg", "Mg", "Zn"], "frac_coords": [[0.625, 0.562, 0.187], [0.125, 0.813, 0.937], [0.625, 0.063, 0.688], [0.125, 0.312, 0.438]], "formation_energy_ev_per_atom": -0.164, "space_group": "I-4m2, No. 119"}

=====

8.
{"formula": "HoMgZn2", "functional": "GGA-PBE", "state": "relaxed", "cell": [[-0.585, -3.058, -1.794], [4.716, -0.551, -0.598], [0.233, -2.452, 4.103]], "species": ["Mg", "Zn", "Zn", "Ho"], "frac_coords": [[0.500, 0.000, 0.000], [0.000, 0.000, 0.500], [0.000, 0.500, 0.000], [0.500, 0.500, 0.500]], "formation_energy_ev_per_atom": -0.240, "space_group": "P4/mmm, No. 123"}

=====

9.
{"formula": "Ho2Mg5Zn4", "functional": "GGA-PBE", "state": "relaxed", "cell": [[5.979, 0.000, 0.000], [2.990, 5.758, 0.000], [2.990, 0.000, 7.163]], "species": ["Ho", "Ho", "Mg", "Mg", "Mg", "Mg", "Mg", "Zn", "Zn", "Zn", "Zn"], "frac_coords": [[0.852, 0.000, 0.296], [0.148, 0.000, 0.704], [0.500, 0.000, 0.000], [0.000, 0.500, 0.000], [0.500, 0.500, 0.000], [0.250, 0.500, 0.500], [0.750, 0.500, 0.500], [0.544, 0.220, 0.693], [0.456, 0.780, 0.307], [0.236, 0.220, 0.307], [0.764, 0.780, 0.693]], "formation_energy_ev_per_atom": -0.059, "space_group": "Fmmm, No. 69"}

=====

10.
{"formula": "Ho4MgZn2", "functional": "GGA-PBE", "state": "relaxed", "cell": [[5.063, 0.000, 0.000], [2.532, 4.385, 0.000], [2.532, 1.462, 8.601]], "species": ["Ho", "Ho", "Ho", "Ho", "Mg", "Zn", "Zn"], "frac_coords": [[0.380, 0.380, 0.861], [0.211, 0.211, 0.367], [0.789, 0.789, 0.633], [0.620, 0.620, 0.139], [0.000, 0.000, 0.000], [0.098, 0.098, 0.705], [0.902, 0.902, 0.295]], "formation_energy_ev_per_atom": 0.040, "space_group": "R-3m, No. 166"}

=====

11.
{"formula": "Ho5Mg3Zn12", "functional": "GGA-PBE", "state": "relaxed", "cell": [[13.937, 0.000, 0.000], [-4.646, 13.140, 0.000], [-4.646, -6.570, 11.379]], "species": ["Mg", "Mg", "Mg", "Mg", "Mg", "Mg", "Mg", "Mg", "Mg", "Mg", "Mg", "Mg", "Ho", "Ho", "Ho", "Ho", "Ho", "Ho", "Ho", "Ho", "Ho", "Ho", "Ho", "Ho", "Ho", "Ho", "Ho", "Ho", "Ho", "Ho", "Ho", "Ho", "Zn", "Zn", "Zn", "Zn", "Zn", "Zn", "Zn", "Zn", "Zn", "Zn", "Zn", "Zn", "Zn", "Zn", "Zn", "Zn", "Zn", "Zn", "Zn", "Zn", "Zn", "Zn", "Zn", "Zn", "Zn", "Zn", "Zn", "Zn", "Zn", "Zn", "Zn", "Zn", "Zn", "Zn", "Zn", "Zn", "Zn", "Zn", "Zn", "Zn", "Zn", "Zn", "Zn", "Zn", "Zn", "Zn", "Zn", "Zn"], "frac_coords": [[0.750, 0.375, 0.125], [0.875, 0.750, 0.125], [0.375, 0.750, 0.625], [0.250, 0.125, 0.375], [0.875, 0.125, 0.250], [0.375, 0.625, 0.250], [0.625, 0.375, 0.750], [0.125, 0.875, 0.750], [0.750, 0.875, 0.625], [0.625, 0.250, 0.375], [0.125, 0.250, 0.875], [0.250, 0.625, 0.875], [0.125, 0.375, 0.250], [0.000, 0.500, 0.000], [0.000, 0.000, 0.000], [0.375, 0.250, 0.125], [0.500, 0.000, 0.500], [0.500, 0.500, 0.000], [0.125, 0.750, 0.375], [0.750, 0.125, 0.875], [0.750, 0.625, 0.375], [0.375, 0.125, 0.750], [0.625, 0.875, 0.250], [0.500, 0.500, 0.500], [0.500, 0.000, 0.000], [0.000, 0.000, 0.500], [0.250, 0.375, 0.625], [0.250, 0.875, 0.125], [0.000, 0.500, 0.500], [0.875, 0.250, 0.625], [0.625, 0.750, 0.875], [0.875, 0.625, 0.750], [0.737, 0.159, 0.087], [0.350, 0.587, 0.429], [0.913, 0.341, 0.263], [0.587, 0.237, 0.159], [0.578, 0.737, 0.650], [0.913, 0.571, 0.150], [0.350, 0.763, 0.422], [0.071, 0.922, 0.159], [0.571, 0.913, 0.650], [0.737, 0.578, 0.150], [0.763, 0.413, 0.341], [0.850, 0.929, 0.087], [0.159, 0.737, 0.587], [0.341, 0.429, 0.078], [0.078, 0.929, 0.341], [0.422, 0.159, 0.571], [0.078, 0.150, 0.237], [0.413, 0.650, 0.071], [0.850, 0.922, 0.263], [0.159, 0.422, 0.071], [0.341, 0.913, 0.763], [0.571, 0.659, 0.422], [0.929, 0.850, 0.587], [0.763, 0.350, 0.922], [0.429, 0.341, 0.578], [0.071, 0.150, 0.413], [0.237, 0.650, 0.078], [0.150, 0.078, 0.737], [0.659, 0.087, 0.237], [0.841, 0.578, 0.929], [0.587, 0.350, 0.929], [0.578, 0.841, 0.429], [0.922, 0.850, 0.763], [0.922, 0.071, 0.659], [0.841, 0.263, 0.413], [0.150, 0.071, 0.913], [0.659, 0.571, 0.922], [0.429, 0.087, 0.350], [0.263, 0.422, 0.850], [0.237, 0.587, 0.659], [0.929, 0.078, 0.841], [0.650, 0.237, 0.578], [0.413, 0.763, 0.841], [0.087, 0.429, 0.850], [0.422, 0.263, 0.350], [0.087, 0.659, 0.737], [0.650, 0.413, 0.571], [0.263, 0.841, 0.913]], "formation_energy_ev_per_atom": 0.284, "space_group": "Ia-3d, No. 230"}

=====

12.
{"formula": "HoMgZrZn", "functional": "GGA-PBE", "state": "relaxed", "cell": [[3.497, 0.000, 0.000], [0.000, 3.497, 0.000], [0.000, 0.000, 7.279]], "species": ["Ho", "Mg", "Zr", "Zn"], "frac_coords": [[0.500, 0.500, 0.802], [0.000, 0.000, 0.090], [0.500, 0.500, 0.340], [0.000, 0.000, 0.552]], "formation_energy_ev_per_atom": -0.123, "space_group": "P4mm, No. 99"}

=====

13.
{"formula": "HoMgZrZn", "functional": "GGA-PBE", "state": "relaxed", "cell": [[4.993, 0.000, 0.000], [2.497, 4.324, 0.000], [2.497, 1.441, 4.077]], "species": ["Mg", "Zn", "Ho", "Zr"], "frac_coords": [[0.250, 0.250, 0.250], [0.750, 0.750, 0.750], [0.000, 0.000, 0.000], [0.500, 0.500, 0.500]], "formation_energy_ev_per_atom": -0.072, "space_group": "F-43m, No. 216"}

=====

14.
{"formula": "Ho2MgZr", "functional": "GGA-PBE", "state": "relaxed", "cell": [[-4.492, 1.245, -0.391], [-1.310, -4.093, 2.011], [0.193, 2.040, 4.279]], "species": ["Mg", "Ho", "Ho", "Zr"], "frac_coords": [[0.500, 0.500, 0.500], [0.000, 0.000, 0.500], [0.000, 0.500, 0.000], [0.500, 0.000, 0.000]], "formation_energy_ev_per_atom": 0.087, "space_group": "P4/mmm, No. 123"}

=====

15.
{"formula": "HoMg4Zr", "functional": "GGA-PBE", "state": "relaxed", "cell": [[-2.738, -1.523, 0.409], [-3.338, -1.815, -4.663], [-1.186, -10.784, 0.760]], "species": ["Ho", "Mg", "Mg", "Mg", "Mg", "Zr"], "frac_coords": [[0.500, 0.500, 0.500], [0.682, 0.500, 0.160], [0.318, 0.500, 0.840], [0.149, 0.000, 0.675], [0.851, 0.000, 0.325], [0.000, 0.000, 0.000]], "formation_energy_ev_per_atom": 0.026, "space_group": "P2/m, No. 10"}

=====

16.
{"formula": "HoMg2Zr4", "functional": "GGA-PBE", "state": "relaxed", "cell": [[3.112, 0.000, -0.411], [0.000, 3.124, 0.000], [0.742, 0.000, 17.622]], "species": ["Ho", "Mg", "Mg", "Zr", "Zr", "Zr", "Zr"], "frac_coords": [[0.500, 0.000, 0.000], [0.789, 0.500, 0.578], [0.211, 0.500, 0.422], [0.923, 0.500, 0.846], [0.641, 0.000, 0.282], [0.077, 0.500, 0.154], [0.359, 0.000, 0.718]], "formation_energy_ev_per_atom": 0.073, "space_group": "Cmmm, No. 65"}

=====

17.
{"formula": "Ho2MgZr", "functional": "GGA-PBE", "state": "relaxed", "cell": [[3.415, 0.000, 0.000], [0.000, 3.415, 0.000], [0.000, 0.000, 9.270]], "species": ["Mg", "Ho", "Ho", "Zr"], "frac_coords": [[0.500, 0.500, 0.000], [0.000, 0.000, 0.744], [0.000, 0.000, 0.256], [0.500, 0.500, 0.500]], "formation_energy_ev_per_atom": -0.013, "space_group": "P4/mmm, No. 123"}

=====

18.
{"formula": "Ho2MgZr", "functional": "GGA-PBE", "state": "relaxed", "cell": [[-0.912, 0.532, -3.203], [-2.898, -1.272, -1.166], [-6.547, 8.988, 1.577]], "species": ["Ho", "Ho", "Mg", "Zr"], "frac_coords": [[0.079, 0.079, 0.761], [0.254, 0.254, 0.239], [0.500, 0.500, 0.500], [0.667, 0.667, 0.000]], "formation_energy_ev_per_atom": 0.056, "space_group": "R3m, No. 160"}

=====

19.
{"formula": "Ho3Mg2Zr2", "functional": "GGA-PBE", "state": "relaxed", "cell": [[5.000, 0.000, 0.664], [0.000, 3.331, 0.000], [1.020, 0.000, 11.486]], "species": ["Ho", "Ho", "Ho", "Mg", "Mg", "Zr", "Zr"], "frac_coords": [[0.848, 0.000, 0.304], [0.000, 0.000, 0.000], [0.152, 0.000, 0.696], [0.574, 0.500, 0.852], [0.426, 0.500, 0.148], [0.723, 0.500, 0.555], [0.277, 0.500, 0.445]], "formation_energy_ev_per_atom": 0.030, "space_group": "Cmmm, No. 65"}

=====

20.
{"formula": "HoMgZr", "functional": "GGA-PBE", "state": "relaxed", "cell": [[-2.161, -2.413, 0.656], [3.163, -0.323, 0.905], [-1.708, 3.490, 7.212]], "species": ["Mg", "Ho", "Zr"], "frac_coords": [[0.000, 0.000, 0.011], [0.333, 0.667, 0.654], [0.667, 0.333, 0.334]], "formation_energy_ev_per_atom": 0.062, "space_group": "P3m1, No. 156"}

=====

Which size of the total moment belongs to each record? In order, 0.000 0.000 0.000 0.000 0.000 0.000 0.000 0.000 0.000 0.000 0.000 0.000 0.000 0.000 0.000 0.000 0.000 0.000 0.000 0.000 μB/atom.